No. 1
A plane-wave DFT calculation with PBE-GGA was carried out for Dy2YAgC after structural relaxation.

As for the formation enthalpy at 0 K: -0.2081 eV per atom. Its total magnetization is 0.7 Bohr magnetons per cell.

It has space group P4/mmm (No. 123), with a = 4.9024 Å, b = 4.9024 Å, c = 4.8979 Å, α = 90.00°, β = 90.00° and γ = 90.00°. Symmetry generates all atoms from Dy at (0.0000, 0.5000, 0.0000), Y at (0.0000, 0.0000, 0.5000), Ag at (0.5000, 0.5000, 0.5000) and C at (0.0000, 0.0000, 0.0000).

---

No. 2
A plane-wave DFT calculation with PBE-GGA was carried out for Ac2ZrB2N6 after structural relaxation.

Its total magnetization is 3.1 Bohr magnetons per cell. The value obtained for the energy relative to the elements, uncorrected is -23.6 kcal/mol of atoms.

It has space group R-3m (No. 166, hexagonal axes), with a = 5.5474 Å, b = 5.5474 Å, c = 16.2087 Å, α = 90.00°, β = 90.00° and γ = 120.00°. Symmetry generates all atoms from Ac at (0.0000, 0.0000, 0.2285), Zr at (0.0000, 0.0000, 0.0000), B at (0.0000, 0.0000, 0.4189) and N at (0.0299, 0.5150, 0.2521).